Below is crystalline Ba12Na3N5 at its relaxed geometry, with properties calculated at the PBE level.

The calculation puts the raw formation energy at -0.117 eV/atom.

Lattice parameters (Å, degrees): 16.1190 16.1190 16.1190 109.47 109.47 109.47
Closest atoms and distances in Å follow each position.
Sites, in units of the cell vectors:
Ba 0.0021 0.1884 0.1085  1 N 2.61
Ba 0.0021 0.3137 0.8936  1 N 2.61
Ba 0.0799 0.6884 0.6863  1 N 2.61
Ba 0.0799 0.8915 0.3936  1 N 2.61
Ba 0.1064 0.6085 0.4201  1 N 2.61
Ba 0.1064 0.9979 0.6863  1 N 2.61
Ba 0.1085 0.0021 0.1884  1 N 2.61
Ba 0.1085 0.6064 0.9201  1 N 2.61
Ba 0.1863 0.1884 0.5799  1 N 2.61
Ba 0.1863 0.4979 0.6064  1 N 2.61
Ba 0.1884 0.1085 0.0021  1 N 2.61
Ba 0.1884 0.5799 0.1863  1 N 2.61
Ba 0.3116 0.3137 0.9201  1 N 2.61
Ba 0.3116 0.4979 0.3915  1 N 2.61
Ba 0.3137 0.8936 0.0021  1 N 2.61
Ba 0.3137 0.9201 0.3116  1 N 2.61
Ba 0.3915 0.3116 0.4979  1 N 2.61
Ba 0.3915 0.5799 0.8936  1 N 2.61
Ba 0.3936 0.0799 0.8915  1 N 2.61
Ba 0.3936 0.8137 0.5021  1 N 2.61
Ba 0.4201 0.1064 0.6085  1 N 2.61
Ba 0.4201 0.8137 0.8116  1 N 2.61
Ba 0.4979 0.3915 0.3116  1 N 2.61
Ba 0.4979 0.6064 0.1863  1 N 2.61
Ba 0.5021 0.3936 0.8137  1 N 2.61
Ba 0.5021 0.6085 0.6884  1 N 2.61
Ba 0.5799 0.1863 0.1884  1 N 2.61
Ba 0.5799 0.8936 0.3915  1 N 2.61
Ba 0.6064 0.1863 0.4979  1 N 2.61
Ba 0.6064 0.9201 0.1085  1 N 2.61
Ba 0.6085 0.4201 0.1064  1 N 2.61
Ba 0.6085 0.6884 0.5021  1 N 2.61
Ba 0.6863 0.0799 0.6884  1 N 2.61
Ba 0.6863 0.1064 0.9979  1 N 2.61
Ba 0.6884 0.5021 0.6085  1 N 2.61
Ba 0.6884 0.6863 0.0799  1 N 2.61
Ba 0.8116 0.4201 0.8137  1 N 2.61
Ba 0.8116 0.8915 0.9979  1 N 2.61
Ba 0.8137 0.5021 0.3936  1 N 2.61
Ba 0.8137 0.8116 0.4201  1 N 2.61
Ba 0.8915 0.3936 0.0799  1 N 2.61
Ba 0.8915 0.9979 0.8116  1 N 2.61
Ba 0.8936 0.0021 0.3137  1 N 2.61
Ba 0.8936 0.3915 0.5799  1 N 2.61
Ba 0.9201 0.1085 0.6064  1 N 2.61
Ba 0.9201 0.3116 0.3137  1 N 2.61
Ba 0.9979 0.6863 0.1064  1 N 2.61
Ba 0.9979 0.8116 0.8915  1 N 2.61
Na 0.1250 0.2500 0.3750  8 Ba 3.68-3.98
Na 0.1250 0.3750 0.7500  8 Ba 3.68-3.98
Na 0.2500 0.3750 0.1250  8 Ba 3.68-3.98
Na 0.2500 0.8750 0.6250  8 Ba 3.68-3.98
Na 0.3750 0.1250 0.2500  8 Ba 3.68-3.98
Na 0.3750 0.7500 0.1250  8 Ba 3.68-3.98
Na 0.6250 0.2500 0.8750  8 Ba 3.68-3.98
Na 0.6250 0.8750 0.7500  8 Ba 3.68-3.98
Na 0.7500 0.1250 0.3750  8 Ba 3.68-3.98
Na 0.7500 0.6250 0.8750  8 Ba 3.68-3.98
Na 0.8750 0.6250 0.2500  8 Ba 3.68-3.98
Na 0.8750 0.7500 0.6250  8 Ba 3.68-3.98
N 0.0000 0.0000 0.0000  6 Ba 2.94
N 0.0000 0.0000 0.5000  6 Ba 2.94
N 0.0000 0.5000 0.0000  6 Ba 2.94
N 0.0000 0.5000 0.5000  6 Ba 2.94
N 0.1250 0.7500 0.8750  4 Ba 2.61
N 0.1250 0.8750 0.2500  4 Ba 2.61
N 0.2500 0.1250 0.8750  4 Ba 2.61
N 0.2500 0.6250 0.3750  4 Ba 2.61
N 0.3750 0.2500 0.6250  4 Ba 2.61
N 0.3750 0.6250 0.7500  4 Ba 2.61
N 0.5000 0.0000 0.0000  6 Ba 2.94
N 0.5000 0.0000 0.5000  6 Ba 2.94
N 0.5000 0.5000 0.0000  6 Ba 2.94
N 0.5000 0.5000 0.5000  6 Ba 2.94
N 0.6250 0.3750 0.2500  4 Ba 2.61
N 0.6250 0.7500 0.3750  4 Ba 2.61
N 0.7500 0.3750 0.6250  4 Ba 2.61
N 0.7500 0.8750 0.1250  4 Ba 2.61
N 0.8750 0.1250 0.7500  4 Ba 2.61
N 0.8750 0.2500 0.1250  4 Ba 2.61